{
  "formula": "Sm2Ga3Pt5",
  "functional": "GGA-PBE",
  "state": "relaxed",
  "lattice_angstrom": [[-1.442, 5.076, 2.311], [-8.599, 0.605, 0.485], [-1.172, -0.934, 8.503]],
  "species": ["Sm", "Sm", "Sm", "Sm", "Ga", "Ga", "Ga", "Ga", "Ga", "Ga", "Pt", "Pt", "Pt", "Pt", "Pt", "Pt", "Pt", "Pt", "Pt", "Pt"],
  "fractional_positions": [[0.138, 0.588, 0.137], [0.638, 0.137, 0.588], [0.862, 0.412, 0.863], [0.362, 0.863, 0.412], [0.359, 0.534, 0.749], [0.859, 0.749, 0.534], [0.641, 0.466, 0.251], [0.141, 0.251, 0.466], [0.250, 0.000, 0.000], [0.750, 0.000, 0.000], [0.404, 0.270, 0.921], [0.904, 0.921, 0.270], [0.596, 0.730, 0.079], [0.096, 0.079, 0.730], [0.468, 0.782, 0.782], [0.532, 0.218, 0.218], [0.750, 0.500, 0.500], [0.250, 0.500, 0.500], [0.032, 0.218, 0.218], [0.968, 0.782, 0.782]],
  "de_polymorph_mev_per_atom": 0,
  "ef_ev_per_atom": -0.94,
  "final_energy_ev_per_atom": -5.81
}

---

{
  "formula": "SmGaPt4",
  "functional": "GGA-PBE",
  "state": "relaxed",
  "lattice_angstrom": [[-2.905, 0.837, 2.684], [-4.855, -1.965, -4.643], [0.374, -7.135, 2.629]],
  "species": ["Sm", "Sm", "Ga", "Ga", "Pt", "Pt", "Pt", "Pt", "Pt", "Pt", "Pt", "Pt"],
  "fractional_positions": [[0.000, 0.644, 0.750], [0.000, 0.356, 0.250], [0.000, 0.227, 0.750], [0.000, 0.773, 0.250], [0.000, 0.000, 0.500], [0.000, 0.000, 0.000], [0.500, 0.953, 0.750], [0.500, 0.047, 0.250], [0.500, 0.693, 0.049], [0.500, 0.307, 0.951], [0.500, 0.693, 0.451], [0.500, 0.307, 0.549]],
  "de_polymorph_mev_per_atom": 0,
  "ef_ev_per_atom": -0.80,
  "final_energy_ev_per_atom": -6.12
}

---

{
  "formula": "Sm2Ga6Pt9",
  "functional": "GGA-PBE",
  "state": "relaxed",
  "lattice_angstrom": [[5.592, 0.000, 0.000], [-2.796, 4.842, 0.000], [0.000, 0.000, 12.046]],
  "species": ["Sm", "Sm", "Ga", "Ga", "Ga", "Ga", "Ga", "Ga", "Pt", "Pt", "Pt", "Pt", "Pt", "Pt", "Pt", "Pt", "Pt"],
  "fractional_positions": [[0.000, 0.000, 0.697], [0.000, 0.000, 0.303], [0.333, 0.667, 0.000], [0.667, 0.333, 0.000], [0.333, 0.667, 0.664], [0.667, 0.333, 0.664], [0.667, 0.333, 0.336], [0.333, 0.667, 0.336], [0.500, 0.000, 0.831], [0.000, 0.500, 0.831], [0.500, 0.500, 0.831], [0.500, 0.000, 0.169], [0.000, 0.500, 0.169], [0.500, 0.500, 0.169], [0.500, 0.000, 0.500], [0.000, 0.500, 0.500], [0.500, 0.500, 0.500]],
  "ef_ev_per_atom": -0.77,
  "final_energy_ev_per_atom": -5.59
}

---

{
  "formula": "SmGa4Pt8",
  "functional": "GGA-PBE",
  "state": "relaxed",
  "lattice_angstrom": [[5.460, 0.000, 0.000], [2.730, 6.274, 0.000], [2.730, 0.000, 6.274]],
  "species": ["Sm", "Ga", "Ga", "Ga", "Ga", "Pt", "Pt", "Pt", "Pt", "Pt", "Pt", "Pt", "Pt"],
  "fractional_positions": [[0.000, 0.000, 0.000], [0.000, 0.000, 0.500], [0.500, 0.000, 0.500], [0.000, 0.500, 0.000], [0.500, 0.500, 0.000], [0.000, 0.335, 0.665], [0.000, 0.665, 0.335], [0.335, 0.665, 0.665], [0.665, 0.335, 0.335], [0.500, 0.775, 0.225], [0.500, 0.225, 0.775], [0.275, 0.225, 0.225], [0.725, 0.775, 0.775]],
  "ef_ev_per_atom": -0.66,
  "final_energy_ev_per_atom": -5.67
}

---

{
  "formula": "Sm2Ga5Pt3",
  "functional": "GGA-PBE",
  "state": "relaxed",
  "lattice_angstrom": [[-1.783, -2.669, 2.993], [5.043, 1.527, 4.366], [-5.879, 10.883, 2.983]],
  "species": ["Sm", "Sm", "Sm", "Sm", "Ga", "Ga", "Ga", "Ga", "Ga", "Ga", "Ga", "Ga", "Ga", "Ga", "Pt", "Pt", "Pt", "Pt", "Pt", "Pt"],
  "fractional_positions": [[0.483, 0.752, 0.966], [0.175, 0.728, 0.350], [0.825, 0.228, 0.650], [0.517, 0.252, 0.034], [0.396, 0.410, 0.793], [0.292, 0.518, 0.584], [0.708, 0.018, 0.416], [0.123, 0.258, 0.246], [0.294, 0.923, 0.587], [0.948, 0.074, 0.897], [0.706, 0.423, 0.413], [0.877, 0.758, 0.754], [0.052, 0.574, 0.103], [0.604, 0.910, 0.207], [0.775, 0.718, 0.550], [0.607, 0.517, 0.213], [0.052, 0.967, 0.105], [0.225, 0.218, 0.450], [0.948, 0.467, 0.895], [0.393, 0.017, 0.787]],
  "de_polymorph_mev_per_atom": 16,
  "ef_ev_per_atom": -0.89,
  "final_energy_ev_per_atom": -5.16
}

---

{
  "formula": "Sm5Ga2Pt12",
  "functional": "GGA-PBE",
  "state": "relaxed",
  "lattice_angstrom": [[6.686, -0.036, 0.533], [-0.232, 6.341, 3.341], [-0.001, -0.450, 8.551]],
  "species": ["Sm", "Sm", "Sm", "Sm", "Sm", "Ga", "Ga", "Pt", "Pt", "Pt", "Pt", "Pt", "Pt", "Pt", "Pt", "Pt", "Pt", "Pt", "Pt"],
  "fractional_positions": [[0.580, 0.759, 0.481], [0.056, 0.688, 0.623], [0.500, 0.000, 0.000], [0.944, 0.312, 0.377], [0.420, 0.241, 0.519], [0.000, 0.724, 0.000], [0.000, 0.276, 0.000], [0.081, 0.110, 0.780], [0.744, 0.338, 0.699], [0.744, 0.963, 0.699], [0.353, 0.404, 0.800], [0.353, 0.797, 0.800], [0.710, 0.554, 0.892], [0.290, 0.446, 0.108], [0.647, 0.596, 0.200], [0.647, 0.203, 0.200], [0.256, 0.662, 0.301], [0.256, 0.037, 0.301], [0.919, 0.890, 0.220]],
  "ef_ev_per_atom": -0.94,
  "final_energy_ev_per_atom": -6.32
}

---

{
  "formula": "SmGa12Pt4",
  "functional": "GGA-PBE",
  "state": "relaxed",
  "lattice_angstrom": [[7.648, 0.000, 0.000], [-2.549, 7.211, 0.000], [-2.549, -3.605, 6.245]],
  "species": ["Sm", "Ga", "Ga", "Ga", "Ga", "Ga", "Ga", "Ga", "Ga", "Ga", "Ga", "Ga", "Ga", "Pt", "Pt", "Pt", "Pt"],
  "fractional_positions": [[0.000, 0.000, 0.000], [0.847, 0.347, 0.193], [0.347, 0.500, 0.153], [0.807, 0.153, 0.653], [0.347, 0.193, 0.847], [0.193, 0.847, 0.347], [0.653, 0.500, 0.847], [0.500, 0.153, 0.347], [0.500, 0.847, 0.653], [0.653, 0.807, 0.153], [0.847, 0.653, 0.500], [0.153, 0.347, 0.500], [0.153, 0.653, 0.807], [0.000, 0.500, 0.000], [0.500, 0.000, 0.000], [0.500, 0.500, 0.500], [0.000, 0.000, 0.500]],
  "ef_ev_per_atom": -0.36,
  "final_energy_ev_per_atom": -4.19
}

---

{
  "formula": "SmGaPt",
  "functional": "GGA-PBE",
  "state": "relaxed",
  "lattice_angstrom": [[3.563, 0.000, 0.000], [0.000, 3.993, 0.000], [0.000, 0.000, 4.887]],
  "species": ["Ga", "Pt", "Sm"],
  "fractional_positions": [[0.000, 0.500, 0.500], [0.500, 0.000, 0.500], [0.000, 0.000, 0.000]],
  "ef_ev_per_atom": -0.60,
  "final_energy_ev_per_atom": -5.20
}

---

{
  "formula": "SmGa3Pt",
  "functional": "GGA-PBE",
  "state": "relaxed",
  "lattice_angstrom": [[4.286, 0.000, 0.000], [0.000, 8.343, 0.000], [0.000, 0.000, 10.935]],
  "species": ["Sm", "Sm", "Sm", "Sm", "Ga", "Ga", "Ga", "Ga", "Ga", "Ga", "Ga", "Ga", "Ga", "Ga", "Ga", "Ga", "Pt", "Pt", "Pt", "Pt"],
  "fractional_positions": [[0.750, 0.803, 0.020], [0.250, 0.697, 0.520], [0.750, 0.303, 0.480], [0.250, 0.197, 0.980], [0.250, 0.568, 0.089], [0.750, 0.432, 0.911], [0.250, 0.068, 0.411], [0.750, 0.932, 0.589], [0.250, 0.388, 0.680], [0.750, 0.112, 0.180], [0.250, 0.888, 0.820], [0.750, 0.642, 0.715], [0.250, 0.358, 0.285], [0.750, 0.142, 0.785], [0.750, 0.612, 0.320], [0.250, 0.858, 0.215], [0.250, 0.089, 0.649], [0.250, 0.589, 0.851], [0.750, 0.411, 0.149], [0.750, 0.911, 0.351]],
  "de_polymorph_mev_per_atom": 0,
  "ef_ev_per_atom": -0.76,
  "final_energy_ev_per_atom": -4.73
}

---

{
  "formula": "Sm2Ga3Pt5",
  "functional": "GGA-PBE",
  "state": "relaxed",
  "lattice_angstrom": [[-3.900, -1.541, -0.322], [1.047, -3.825, 5.634], [-2.373, 10.203, 7.367]],
  "species": ["Sm", "Sm", "Sm", "Sm", "Ga", "Ga", "Ga", "Ga", "Ga", "Ga", "Pt", "Pt", "Pt", "Pt", "Pt", "Pt", "Pt", "Pt", "Pt", "Pt"],
  "fractional_positions": [[0.475, 0.728, 0.949], [0.175, 0.763, 0.350], [0.825, 0.263, 0.650], [0.525, 0.228, 0.051], [0.783, 0.812, 0.566], [0.627, 0.450, 0.253], [0.044, 0.914, 0.088], [0.217, 0.312, 0.434], [0.956, 0.414, 0.912], [0.373, 0.950, 0.747], [0.402, 0.376, 0.804], [0.304, 0.580, 0.608], [0.696, 0.080, 0.392], [0.118, 0.188, 0.236], [0.273, 0.011, 0.547], [0.944, 0.042, 0.888], [0.727, 0.511, 0.453], [0.882, 0.688, 0.764], [0.056, 0.542, 0.112], [0.598, 0.876, 0.196]],
  "de_polymorph_mev_per_atom": 17,
  "ef_ev_per_atom": -0.92,
  "final_energy_ev_per_atom": -5.80
}

---

{
  "formula": "SmGa2Pt4",
  "functional": "GGA-PBE",
  "state": "relaxed",
  "lattice_angstrom": [[4.222, 0.000, 0.000], [0.000, 7.258, 0.000], [0.000, 0.000, 16.448]],
  "species": ["Pt", "Pt", "Pt", "Pt", "Pt", "Pt", "Pt", "Pt", "Pt", "Pt", "Pt", "Pt", "Pt", "Pt", "Pt", "Pt", "Ga", "Ga", "Ga", "Ga", "Ga", "Ga", "Ga", "Ga", "Sm", "Sm", "Sm", "Sm"],
  "fractional_positions": [[0.250, 0.185, 0.714], [0.750, 0.815, 0.286], [0.750, 0.685, 0.786], [0.250, 0.315, 0.214], [0.250, 0.604, 0.672], [0.750, 0.396, 0.328], [0.750, 0.104, 0.828], [0.250, 0.896, 0.172], [0.250, 0.103, 0.543], [0.750, 0.897, 0.457], [0.750, 0.603, 0.957], [0.250, 0.397, 0.043], [0.250, 0.446, 0.446], [0.750, 0.554, 0.554], [0.750, 0.946, 0.054], [0.250, 0.054, 0.946], [0.250, 0.750, 0.523], [0.750, 0.250, 0.477], [0.750, 0.250, 0.977], [0.250, 0.750, 0.023], [0.250, 0.884, 0.808], [0.750, 0.116, 0.192], [0.750, 0.384, 0.692], [0.250, 0.616, 0.308], [0.750, 0.936, 0.648], [0.250, 0.064, 0.352], [0.250, 0.436, 0.852], [0.750, 0.564, 0.148]],
  "ef_ev_per_atom": -0.80,
  "final_energy_ev_per_atom": -5.79
}

---

{
  "formula": "Sm3Ga4Pt2",
  "functional": "GGA-PBE",
  "state": "relaxed",
  "lattice_angstrom": [[4.255, 0.000, 1.135], [1.768, 5.270, 1.914], [-0.007, 0.102, 8.569]],
  "species": ["Sm", "Sm", "Sm", "Ga", "Ga", "Ga", "Ga", "Pt", "Pt"],
  "fractional_positions": [[0.321, 0.715, 0.644], [0.000, 0.000, 0.000], [0.679, 0.285, 0.356], [0.255, 0.405, 0.084], [0.745, 0.595, 0.916], [0.020, 0.318, 0.643], [0.980, 0.682, 0.357], [0.398, 0.935, 0.270], [0.602, 0.065, 0.730]],
  "ef_ev_per_atom": -0.92,
  "final_energy_ev_per_atom": -5.18
}

---

{
  "formula": "Sm2GaPt",
  "functional": "GGA-PBE",
  "state": "relaxed",
  "lattice_angstrom": [[-4.037, 0.543, -1.639], [1.817, -2.313, -5.243], [-2.850, -5.551, 5.181]],
  "species": ["Sm", "Sm", "Sm", "Sm", "Ga", "Ga", "Pt", "Pt"],
  "fractional_positions": [[0.750, 0.230, 0.410], [0.250, 0.770, 0.590], [0.250, 0.787, 0.063], [0.750, 0.213, 0.937], [0.750, 0.676, 0.298], [0.250, 0.324, 0.702], [0.250, 0.358, 0.210], [0.750, 0.642, 0.790]],
  "ef_ev_per_atom": -0.88,
  "final_energy_ev_per_atom": -5.51
}

---

{
  "formula": "Sm2Ga2Pt3",
  "functional": "GGA-PBE",
  "state": "relaxed",
  "lattice_angstrom": [[-2.832, 2.978, 0.122], [-3.666, -3.692, 5.033], [6.415, 2.982, 6.860]],
  "species": ["Sm", "Sm", "Sm", "Sm", "Ga", "Ga", "Ga", "Ga", "Pt", "Pt", "Pt", "Pt", "Pt", "Pt"],
  "fractional_positions": [[0.151, 0.250, 0.302], [0.849, 0.750, 0.698], [0.941, 0.250, 0.883], [0.059, 0.750, 0.117], [0.692, 0.946, 0.384], [0.308, 0.054, 0.616], [0.308, 0.446, 0.616], [0.692, 0.554, 0.384], [0.225, 0.750, 0.451], [0.775, 0.250, 0.549], [0.566, 0.447, 0.131], [0.434, 0.553, 0.869], [0.434, 0.947, 0.869], [0.566, 0.053, 0.131]],
  "ef_ev_per_atom": -1.02,
  "final_energy_ev_per_atom": -5.83
}

---

{
  "formula": "SmGa2Pt5",
  "functional": "GGA-PBE",
  "state": "relaxed",
  "lattice_angstrom": [[-0.768, -1.277, 3.608], [5.615, -0.182, 3.243], [0.671, 5.034, 4.036]],
  "species": ["Sm", "Ga", "Ga", "Pt", "Pt", "Pt", "Pt", "Pt"],
  "fractional_positions": [[0.000, 0.000, 0.000], [0.751, 0.749, 0.749], [0.249, 0.251, 0.251], [0.000, 0.500, 0.500], [0.641, 0.558, 0.160], [0.359, 0.442, 0.840], [0.359, 0.840, 0.442], [0.641, 0.160, 0.558]],
  "ef_ev_per_atom": -0.77,
  "final_energy_ev_per_atom": -5.89
}

---

{
  "formula": "Sm2GaPt7",
  "functional": "GGA-PBE",
  "state": "relaxed",
  "lattice_angstrom": [[3.946, 0.000, 0.000], [0.000, 3.946, 0.000], [0.000, 0.000, 12.554]],
  "species": ["Sm", "Sm", "Ga", "Pt", "Pt", "Pt", "Pt", "Pt", "Pt", "Pt"],
  "fractional_positions": [[0.500, 0.000, 0.734], [0.000, 0.500, 0.266], [0.500, 0.500, 0.000], [0.000, 0.500, 0.856], [0.500, 0.000, 0.348], [0.500, 0.000, 0.144], [0.000, 0.500, 0.652], [0.000, 0.000, 0.500], [0.000, 0.000, 0.000], [0.500, 0.500, 0.500]],
  "ef_ev_per_atom": -0.72,
  "final_energy_ev_per_atom": -6.19
}

---

{
  "formula": "Sm4Ga12Pt",
  "functional": "GGA-PBE",
  "state": "relaxed",
  "lattice_angstrom": [[-5.122, 5.235, -1.845], [2.896, -3.015, -6.290], [-3.301, -5.416, 4.100]],
  "species": ["Sm", "Sm", "Sm", "Sm", "Ga", "Ga", "Ga", "Ga", "Ga", "Ga", "Ga", "Ga", "Ga", "Ga", "Ga", "Ga", "Pt"],
  "fractional_positions": [[0.000, 0.000, 0.500], [0.500, 0.000, 0.000], [0.500, 0.500, 0.500], [0.000, 0.500, 0.000], [0.000, 0.297, 0.297], [0.000, 0.703, 0.703], [0.703, 0.703, 0.000], [0.297, 0.297, 0.000], [0.297, 0.000, 0.297], [0.703, 0.000, 0.703], [0.500, 0.250, 0.750], [0.500, 0.750, 0.250], [0.750, 0.250, 0.500], [0.250, 0.750, 0.500], [0.750, 0.500, 0.250], [0.250, 0.500, 0.750], [0.000, 0.000, 0.000]],
  "ef_ev_per_atom": -0.65,
  "final_energy_ev_per_atom": -4.25
}

---

{
  "formula": "Sm3Ga4Pt7",
  "functional": "GGA-PBE",
  "state": "relaxed",
  "lattice_angstrom": [[-2.166, -1.029, -3.388], [-1.170, -8.005, 0.637], [-7.892, -1.364, 2.917]],
  "species": ["Sm", "Sm", "Sm", "Ga", "Ga", "Ga", "Ga", "Pt", "Pt", "Pt", "Pt", "Pt", "Pt", "Pt"],
  "fractional_positions": [[0.326, 0.178, 0.169], [0.674, 0.822, 0.831], [0.000, 0.500, 0.500], [0.664, 0.446, 0.226], [0.336, 0.554, 0.774], [0.884, 0.893, 0.338], [0.116, 0.107, 0.662], [0.310, 0.838, 0.543], [0.495, 0.226, 0.784], [0.839, 0.399, 0.924], [0.690, 0.162, 0.457], [0.161, 0.601, 0.076], [0.000, 0.000, 0.000], [0.505, 0.774, 0.216]],
  "ef_ev_per_atom": -0.99,
  "final_energy_ev_per_atom": -5.89
}